[1]
{
  "formula": "Y2InHg2",
  "functional": "PBE",
  "state": "optimized geometry",
  "cell": [[8.4940, 0.0000, 0.0000], [0.0000, 8.4940, 0.0000], [0.0000, 0.0000, 3.8154]],
  "species": ["Y", "Y", "Y", "Y", "Hg", "Hg", "Hg", "Hg", "In", "In"],
  "frac_coords": [[0.3408, 0.8408, 0.0000], [0.8408, 0.6592, 0.0000], [0.6592, 0.1592, 0.0000], [0.1592, 0.3408, 0.0000], [0.1394, 0.6394, 0.5000], [0.6394, 0.8606, 0.5000], [0.8606, 0.3606, 0.5000], [0.3606, 0.1394, 0.5000], [0.0000, 0.0000, 0.0000], [0.5000, 0.5000, 0.0000]],
  "e_above_lowest_polymorph_ev_per_atom": 0.162,
  "e_form_ev_per_atom": -0.30,
  "sg": "P4/mbm (127)",
  "total_magnetization_mub_per_fu": 0.000
}

[2]
{
  "formula": "ScSbI3",
  "functional": "PBE",
  "state": "optimized geometry",
  "cell": [[6.0509, 0.0000, 0.0000], [0.0000, 6.0509, 0.0000], [0.0000, 0.0000, 6.0509]],
  "species": ["I", "I", "I", "Sb", "Sc"],
  "frac_coords": [[0.0000, 0.5000, 0.0000], [0.0000, 0.0000, 0.5000], [0.5000, 0.0000, 0.0000], [0.0000, 0.0000, 0.0000], [0.5000, 0.5000, 0.5000]],
  "e_above_lowest_polymorph_ev_per_atom": 0.613,
  "sg": "Pm-3m (221)",
  "e_form_raw_ev_per_atom": 0.296,
  "total_magnetization_mub_per_fu": 1.841
}

[3]
{
  "formula": "Zr2ZnSn",
  "functional": "PBE",
  "state": "optimized geometry",
  "cell": [[4.2977, 0.0000, 0.0000], [0.0000, 4.3658, 0.0000], [0.0000, 0.0000, 4.3658]],
  "species": ["Zn", "Sn", "Zr", "Zr"],
  "frac_coords": [[0.5000, 0.5000, 0.5000], [0.5000, 0.0000, 0.0000], [0.0000, 0.0000, 0.5000], [0.0000, 0.5000, 0.0000]],
  "e_form_ev_per_atom": -0.38,
  "sg": "P4/mmm (123)",
  "total_magnetization_mub_per_fu": 0.000
}

[4]
{
  "formula": "Te4Ir",
  "functional": "PBE",
  "state": "optimized geometry",
  "cell": [[5.2591, 0.0000, 0.0000], [0.0000, 5.2591, 0.0000], [0.0000, 0.0000, 5.2591]],
  "species": ["Ir", "Te", "Te", "Te", "Te"],
  "frac_coords": [[0.5000, 0.5000, 0.5000], [0.0000, 0.0000, 0.0000], [0.5000, 0.0000, 0.5000], [0.0000, 0.5000, 0.5000], [0.5000, 0.5000, 0.0000]],
  "e_above_lowest_polymorph_ev_per_atom": 0.403,
  "sg": "Pm-3m (221)",
  "e_form_raw_ev_per_atom": 0.442,
  "total_magnetization_mub_per_fu": 0.000
}

[5]
{
  "formula": "MgTc",
  "functional": "PBE",
  "state": "optimized geometry",
  "cell": [[3.4420, -2.4292, 4.7923], [5.2116, -2.7643, 2.4316], [3.1996, 4.3864, 1.7758]],
  "species": ["Mg", "Mg", "Mg", "Tc", "Tc", "Tc"],
  "frac_coords": [[0.9763, 0.9763, 0.0365], [0.6621, 0.6621, 0.7073], [0.6345, 0.6345, 0.2494], [0.3176, 0.3176, 0.3533], [0.3101, 0.3101, 0.9145], [0.9327, 0.9327, 0.5724]],
  "e_above_lowest_polymorph_ev_per_atom": 0.228,
  "e_form_ev_per_atom": 0.20,
  "sg": "Cm (8)",
  "total_magnetization_mub_per_fu": 0.000
}

[6]
{
  "formula": "ZnHgOs2",
  "functional": "PBE",
  "state": "optimized geometry",
  "cell": [[-6.2137, 3.5516, -5.9255], [-7.9861, 2.7141, -3.8977], [-6.7222, 5.2289, -3.7158]],
  "species": ["Hg", "Os", "Os", "Zn"],
  "frac_coords": [[0.7500, 0.7500, 0.7500], [0.9939, 0.9939, 0.9939], [0.5061, 0.5061, 0.5061], [0.2500, 0.2500, 0.2500]],
  "e_above_lowest_polymorph_ev_per_atom": 0.347,
  "e_form_ev_per_atom": 0.62,
  "sg": "R-3m (166)",
  "total_magnetization_mub_per_fu": 0.000
}

[7]
{
  "formula": "Hf2AgHgRh",
  "functional": "PBE",
  "state": "optimized geometry",
  "cell": [[-1.1329, -4.7572, -1.0917], [0.5286, -1.2003, 4.6818], [-4.8504, 0.9722, 0.7968]],
  "species": ["Rh", "Hf", "Hf", "Hg", "Ag"],
  "frac_coords": [[0.0000, 0.5000, 0.0000], [0.0000, 0.0000, 0.5000], [0.5000, 0.0000, 0.0000], [0.5000, 0.5000, 0.5000], [0.0000, 0.0000, 0.0000]],
  "e_form_ev_per_atom": 1.02,
  "sg": "P4/mmm (123)",
  "total_magnetization_mub_per_fu": 0.000
}

[8]
{
  "formula": "Th2Mg3Co2",
  "functional": "PBE",
  "state": "optimized geometry",
  "cell": [[3.6363, 0.0000, 0.0000], [0.0000, 3.8829, -0.7641], [0.0000, 0.1626, 11.0736]],
  "species": ["Th", "Th", "Mg", "Mg", "Mg", "Co", "Co"],
  "frac_coords": [[0.0000, 0.8201, 0.6401], [0.0000, 0.1799, 0.3599], [0.5000, 0.5774, 0.1549], [0.5000, 0.4226, 0.8451], [0.0000, 0.0000, 0.0000], [0.5000, 0.7020, 0.4039], [0.5000, 0.2980, 0.5961]],
  "e_form_ev_per_atom": -0.21,
  "sg": "Cmmm (65)",
  "total_magnetization_mub_per_fu": 0.000
}

[9]
{
  "formula": "CdGa6Ag3",
  "functional": "PBE",
  "state": "optimized geometry",
  "cell": [[-4.5752, 3.6520, 3.0574], [0.0759, -5.0704, 6.1701], [5.3405, 5.8536, 0.9998]],
  "species": ["Cd", "Cd", "Ga", "Ga", "Ga", "Ga", "Ga", "Ga", "Ga", "Ga", "Ga", "Ga", "Ga", "Ga", "Ag", "Ag", "Ag", "Ag", "Ag", "Ag"],
  "frac_coords": [[0.0832, 0.2235, 0.7765], [0.5832, 0.7765, 0.2235], [0.1012, 0.7635, 0.6839], [0.6012, 0.6839, 0.7635], [0.3035, 0.5649, 0.9360], [0.8035, 0.9360, 0.5649], [0.2727, 0.9576, 0.0424], [0.6558, 0.3007, 0.6993], [0.1558, 0.6993, 0.3007], [0.7727, 0.0424, 0.9576], [0.3035, 0.0640, 0.4351], [0.8035, 0.4351, 0.0640], [0.1012, 0.3161, 0.2365], [0.6012, 0.2365, 0.3161], [0.4290, 0.9696, 0.7100], [0.9290, 0.7100, 0.9696], [0.3061, 0.4473, 0.5527], [0.8061, 0.5527, 0.4473], [0.9290, 0.0304, 0.2900], [0.4290, 0.2900, 0.0304]],
  "e_form_ev_per_atom": 0.06,
  "sg": "Cmc2_1 (36)",
  "total_magnetization_mub_per_fu": 0.000
}

How do the records compare in VASP energy? In the order shown, they have -3.55 -2.73 -5.97 -3.84 -5.78 -5.38 -5.07 -5.04 -2.70 eV/atom.